[1]
{
  "formula": "Cs2PbBrCl3",
  "functional": "GGA-PBE",
  "state": "optimized geometry",
  "space_group": "Immm",
  "mass_density_g_cm3": 3.65,
  "final_energy_ev_per_atom": -3.389,
  "cell": [[5.9604, 0.0000, 0.0000], [0.0000, 5.7295, 0.0000], [-2.9802, -2.8648, 8.7853]],
  "species": ["Cs", "Cs", "Pb", "Br", "Cl", "Cl", "Cl"],
  "fractional_positions": [[0.6431, 0.6431, 0.2862], [0.3569, 0.3569, 0.7138], [0.0000, 0.0000, 0.0000], [0.5000, 0.0000, 0.0000], [0.0000, 0.5000, 0.0000], [0.1641, 0.1641, 0.3283], [0.8359, 0.8359, 0.6717]]
}

***

[2]
{
  "formula": "Cu2Ag3F8",
  "functional": "GGA-PBE",
  "state": "optimized geometry",
  "space_group": "C2/m",
  "mass_density_g_cm3": 5.42,
  "final_energy_ev_per_atom": -3.616,
  "cell": [[1.3097, 3.2275, -4.2695], [3.1099, -4.3689, -2.3487], [-6.6661, -0.7443, -0.1455]],
  "species": ["Cu", "Cu", "Ag", "Ag", "Ag", "F", "F", "F", "F", "F", "F", "F", "F"],
  "fractional_positions": [[0.6631, 0.7274, 0.4549], [0.3369, 0.2726, 0.5451], [0.5000, 0.0000, 0.0000], [0.0000, 0.2540, 0.0000], [0.0000, 0.7460, 0.0000], [0.1755, 0.3924, 0.7847], [0.8245, 0.6076, 0.2153], [0.9972, 0.8434, 0.6868], [0.0028, 0.1566, 0.3132], [0.4204, 0.8916, 0.2791], [0.4204, 0.3875, 0.2791], [0.5796, 0.6125, 0.7209], [0.5796, 0.1084, 0.7209]]
}

***

[3]
{
  "formula": "In2AsAu",
  "functional": "GGA-PBE",
  "state": "optimized geometry",
  "de_polymorph_kj_per_mol_atoms": 0.00,
  "space_group": "C2/m",
  "mass_density_g_cm3": 8.78,
  "final_energy_ev_per_atom": -3.457,
  "cell": [[-2.2521, -0.8783, 3.3575], [-3.4433, -2.2688, -0.3353], [1.5377, -6.3943, 1.9117]],
  "species": ["As", "Au", "In", "In"],
  "fractional_positions": [[0.2500, 0.2500, 0.2500], [0.7500, 0.7500, 0.7500], [0.9994, 0.9994, 0.0019], [0.5006, 0.5006, 0.4981]]
}